[1]
# Pr4SmEr8

An optimized crystal structure of Pr4SmEr8 (PBE, the Alexandria database).

Cell lengths 11.0682, 11.0682, 13.5010 Å; angles 90.00, 90.00, 120.00 degrees
Space group R-3m (No. 166, hexagonal axes)
Unique sites:
Pr  0.0000  0.0000  0.0000
Pr  0.0000  0.5000  0.0000
Sm  0.0000  0.0000  0.5000
Er  0.0000  0.0000  0.2396
Er  0.0134  0.5067  0.7457

Output
calculated formation energy: 0.529 eV/atom
N(E_F): 67.79 states/eV per cell
total energy: -4.113 eV per atom

***

[2]
# Pr2SmEr5

An optimized crystal structure of Pr2SmEr5 (PBE, the Alexandria database).

Cell lengths 7.1427, 14.2858, 5.0556 Å; angles 90.00, 90.00, 90.00 degrees
Space group Pbam (No. 55)
Unique sites:
Pr  0.2470  0.1256  0.0000
Sm  0.0000  0.5000  0.5000
Er  0.0000  0.0000  0.5000
Er  0.0032  0.7507  0.5000
Er  0.2475  0.3747  0.0000

Output
excess energy over the best structure of this formula in the dataset: 0 meV/atom
calculated formation energy: 0.024 eV/atom
N(E_F): 22.66 states/eV per cell
total energy: -4.613 eV per atom

***

[3]
# PrSm4Er3

An optimized crystal structure of PrSm4Er3 (PBE, the Alexandria database).

Cell lengths 26.0593, 5.7304, 3.5996 Å; angles 90.00, 90.05, 90.00 degrees
Space group C2/m (No. 12)
Unique sites:
Pr  0.0000  0.0000  0.0000
Sm  0.1056  0.0000  0.5003
Sm  0.2247  0.0000  0.4988
Er  0.0000  0.5000  0.5000
Er  0.1531  0.5000  0.9996

Output
excess energy over the best structure of this formula in the dataset: 197 meV/atom
calculated formation energy: 0.221 eV/atom
N(E_F): 26.48 states/eV per cell
total energy: -4.447 eV per atom

***

[4]
# Pr2Sm2Er3

An optimized crystal structure of Pr2Sm2Er3 (PBE, the Alexandria database).

Cell lengths 6.4141, 11.4628, 6.4520 Å; angles 90.00, 95.71, 90.00 degrees
Space group P2_1/c (No. 14)
Unique sites:
Pr  0.0416  0.1509  0.4620
Sm  0.3920  0.7238  0.7220
Er  0.2450  0.0405  0.9596
Er  0.5000  0.0000  0.5000

Output
excess energy over the best structure of this formula in the dataset: 157 meV/atom
calculated formation energy: 0.185 eV/atom
N(E_F): 23.14 states/eV per cell
total energy: -4.484 eV per atom

***

[5]
# Pr5SmEr2

An optimized crystal structure of Pr5SmEr2 (PBE, the Alexandria database).

Cell lengths 14.7738, 12.2204, 6.7551 Å; angles 90.00, 114.13, 90.00 degrees
Space group C2/c (No. 15)
Unique sites:
Pr  0.0000  0.2360  0.2500
Pr  0.1263  0.2406  0.8828
Pr  0.2402  0.4887  0.2134
Sm  0.0000  0.4942  0.7500
Er  0.0000  0.0000  0.0000
Er  0.2500  0.2500  0.5000

Output
excess energy over the best structure of this formula in the dataset: 79 meV/atom
calculated formation energy: 0.199 eV/atom
N(E_F): 48.84 states/eV per cell
total energy: -4.519 eV per atom

***

[6]
# Pr4Sm11Er9

An optimized crystal structure of Pr4Sm11Er9 (PBE, the Alexandria database).

Cell lengths 16.8517, 25.4732, 3.7102 Å; angles 90.00, 90.00, 90.00 degrees
Space group Cmmm (No. 65)
Unique sites:
Pr  0.1553  0.1004  0.0000
Sm  0.0000  0.1345  0.5000
Sm  0.0000  0.3402  0.5000
Sm  0.0000  0.5000  0.5000
Sm  0.2122  0.0000  0.5000
Sm  0.2252  0.3187  0.5000
Er  0.0000  0.0000  0.0000
Er  0.1012  0.2356  0.0000
Er  0.1372  0.4268  0.0000

Output
calculated formation energy: 0.067 eV/atom
N(E_F): 60.54 states/eV per cell
total energy: -4.604 eV per atom

***

Q: Among the records above, which one has the highest calculated formation energy?
A: Pr4SmEr8

***

Q: Which of these has the highest N(E_F)?
A: Pr4SmEr8

***

Q: calculated formation energy of number 5 (Pr5SmEr2)?
A: 0.199 eV/atom

***

Q: Which formula does entry 1 have?
A: Pr4SmEr8